Entry 1:
DFT (PBE) results for a relaxed structure of LiY2Pt.

Unit cell a=4.1689 b=4.1689 c=13.0734 alpha=90.00 beta=90.00 gamma=120.00
Closest atoms and distances in Å follow each position.
Positions (direct):
Li (0.6667, 0.3333, 0.2500)  3 Pt 2.41
Li (0.3333, 0.6667, 0.7500)  3 Pt 2.41
Pt (0.0000, 0.0000, 0.2500)  3 Li 2.41
Pt (0.0000, 0.0000, 0.7500)  3 Li 2.41
Y (0.3333, 0.6667, 0.1103)  3 Li 3.02, 3 Pt 3.02
Y (0.3333, 0.6667, 0.3897)  3 Li 3.02, 3 Pt 3.02
Y (0.6667, 0.3333, 0.6103)  3 Li 3.02, 3 Pt 3.02
Y (0.6667, 0.3333, 0.8897)  3 Li 3.02, 3 Pt 3.02

Results
The symmetry is P6_3/mmc (194). For the volume, the calculation gives 98.4 Å³/f.u. For the total energy, the calculation gives -45.725 eV for the cell shown. As for the energy above the most stable polymorph in this dataset: 0.1707 eV per atom.



Entry 2:
DFT (PBE) results for a relaxed structure of LiY2Pt.

Unit cell a=5.0625 b=5.0625 c=8.4673 alpha=90.00 beta=90.00 gamma=120.00
Closest atoms and distances in Å follow each position.
Positions (direct):
Li (0.0000, 0.0000, 0.0000)  6 Y 3.01
Li (0.0000, 0.0000, 0.5000)  6 Y 3.01
Pt (0.3333, 0.6667, 0.2500)  2 Y 2.83
Pt (0.6667, 0.3333, 0.7500)  2 Y 2.83
Y (0.6667, 0.3333, 0.0847)  1 Y 2.80, 1 Pt 2.83, 3 Li 3.01
Y (0.6667, 0.3333, 0.4153)  1 Y 2.80, 1 Pt 2.83, 3 Li 3.01
Y (0.3333, 0.6667, 0.5847)  1 Y 2.80, 1 Pt 2.83, 3 Li 3.01
Y (0.3333, 0.6667, 0.9153)  1 Y 2.80, 1 Pt 2.83, 3 Li 3.01

Results
The symmetry is P6_3/mmc (194). For the volume, the calculation gives 94.0 Å³/f.u. For the total energy, the calculation gives -42.664 eV for the cell shown. As for the energy above the most stable polymorph in this dataset: 0.5533 eV per atom.



Entry 3:
DFT (PBE) results for a relaxed structure of LiYZrPt.

Unit cell a=4.7338 b=4.7338 c=4.7338 alpha=60.00 beta=60.00 gamma=60.00
Closest atoms and distances in Å follow each position.
Positions (direct):
Li (0.7500, 0.7500, 0.7500)  4 Y 2.90, 4 Pt 2.90
Pt (0.0000, 0.0000, 0.0000)  4 Zr 2.90, 4 Li 2.90
Y (0.5000, 0.5000, 0.5000)  4 Li 2.90, 4 Zr 2.90
Zr (0.2500, 0.2500, 0.2500)  4 Pt 2.90, 4 Y 2.90

Results
The symmetry is F-43m (216). For the volume, the calculation gives 75.0 Å³/f.u. For the total energy, the calculation gives -24.414 eV for the cell shown. As for the energy above the most stable polymorph in this dataset: 0.1301 eV per atom.



Entry 4:
DFT (PBE) results for a relaxed structure of LiYZrPt.

Unit cell a=4.8436 b=4.8436 c=4.8436 alpha=60.00 beta=60.00 gamma=60.00
Closest atoms and distances in Å follow each position.
Positions (direct):
Li (0.7500, 0.7500, 0.7500)  4 Y 2.97, 4 Zr 2.97
Pt (0.2500, 0.2500, 0.2500)  4 Y 2.97, 4 Zr 2.97
Y (0.5000, 0.5000, 0.5000)  4 Pt 2.97, 4 Li 2.97
Zr (0.0000, 0.0000, 0.0000)  4 Li 2.97, 4 Pt 2.97

Results
The symmetry is F-43m (216). For the volume, the calculation gives 80.4 Å³/f.u. For the total energy, the calculation gives -24.934 eV for the cell shown. As for the energy above the most stable polymorph in this dataset: 0.0000 eV per atom.